10
Lattice="6.627 -2.988 0.000 6.627 2.988 0.000 -6.580 0.000 6.678" Properties=species:S:1:pos:R:3 comment="Y3SbC (GGA-PBE, relaxed)" e_form_raw_ev_per_atom=-0.38 spacegroup="No. 12" pbc="T T T"
Y -1.880 0.000 2.634
Y 2.002 0.000 1.436
Y 0.739 0.000 4.884
Y 5.935 0.000 1.794
Y 4.673 0.000 5.242
Y 8.554 0.000 4.043
Sb -2.226 0.000 5.837
Sb 8.901 0.000 0.841
C 2.748 0.000 3.716
C 3.926 0.000 2.961


7
Lattice="-2.816 2.816 5.997 2.816 -2.816 5.997 2.816 2.816 -5.997" Properties=species:S:1:pos:R:3 comment="Y4SbC2 (GGA-PBE, relaxed)" e_form_raw_ev_per_atom=-0.16 e_above_lowest_polymorph_ev_per_atom=0.388 spacegroup="No. 139" pbc="T T T"
Y 2.816 0.000 0.000
Y 0.000 0.000 2.944
Y 0.000 2.816 0.000
Y 0.000 0.000 9.051
Sb 0.000 0.000 5.997
C 0.000 0.000 0.666
C 0.000 0.000 11.328


10
Lattice="-2.703 2.703 11.095 2.703 -2.703 11.095 2.703 2.703 -11.095" Properties=species:S:1:pos:R:3 comment="Y3SbC (GGA-PBE, relaxed)" e_form_raw_ev_per_atom=0.84 spacegroup="No. 119" pbc="T T T"
Y 0.000 0.000 4.347
Y 1.415 2.703 -2.728
Y 1.287 0.000 8.367
Y 2.703 1.415 2.728
Y 0.000 0.000 17.843
Y 0.000 1.287 13.824
Sb 2.703 0.000 5.548
Sb 0.000 0.000 11.095
C 0.000 2.703 3.444
C 0.000 2.703 7.651


10
Lattice="6.220 -1.764 0.000 6.220 1.764 0.000 -1.754 0.000 10.963" Properties=species:S:1:pos:R:3 comment="Y3SbC (GGA-PBE, relaxed)" e_form_raw_ev_per_atom=-0.41 spacegroup="No. 12" pbc="T T T"
Y -0.336 0.000 4.139
Y 1.781 0.000 6.887
Y 4.660 0.000 1.086
Y 6.026 0.000 9.877
Y 8.904 0.000 4.076
Y 11.021 0.000 6.824
Sb 1.354 0.000 1.542
Sb 9.332 0.000 9.421
C 3.771 0.000 5.426
C 6.914 0.000 5.537


10
Lattice="-4.710 4.710 3.070 4.710 -4.710 3.070 4.710 4.710 -3.070" Properties=species:S:1:pos:R:3 comment="Y5Sb4C (GGA-PBE, relaxed)" e_form_raw_ev_per_atom=-0.85 spacegroup="No. 79" pbc="T T T"
Y 0.000 0.000 0.000
Y 3.823 2.325 -0.369
Y 2.386 -0.887 2.701
Y 2.325 5.598 -0.369
Y 0.887 2.386 2.701
Sb 6.491 0.788 -0.386
Sb 0.788 2.929 -0.386
Sb 3.922 1.781 2.684
Sb -1.781 3.922 2.684
C 0.000 0.000 2.415


6
Lattice="-2.022 2.141 8.439 2.022 -2.141 8.439 2.022 2.141 -8.439" Properties=species:S:1:pos:R:3 comment="YSbC (GGA-PBE, relaxed)" e_form_raw_ev_per_atom=-0.11 spacegroup="No. 71" pbc="T T T"
Y 0.000 0.000 1.934
Y 0.000 0.000 14.944
Sb 0.000 0.000 5.225
Sb 0.000 0.000 11.654
C 0.000 1.515 0.000
C 0.000 2.767 0.000


10
Lattice="3.245 -3.189 0.000 3.245 3.189 0.000 -1.294 0.000 11.574" Properties=species:S:1:pos:R:3 comment="Y3SbC (GGA-PBE, relaxed)" e_form_raw_ev_per_atom=-0.58 spacegroup="No. 8" pbc="T T T"
Y 0.000 0.000 0.000
Y 1.595 1.609 5.529
Y 3.567 1.623 8.539
Y 3.225 0.000 2.484
Y 1.595 -1.609 5.529
Y 3.567 -1.623 8.539
Sb -0.007 0.000 3.166
Sb 1.950 0.000 11.001
C 2.019 0.000 7.395
C 3.237 0.000 6.617


18
Lattice="-9.845 3.470 3.359 9.845 -3.470 3.359 9.845 3.470 -3.359" Properties=species:S:1:pos:R:3 comment="Y5Sb2C2 (GGA-PBE, relaxed)" e_form_raw_ev_per_atom=-0.60 spacegroup="No. 46" pbc="T T T"
Y 4.923 2.601 -0.964
Y 0.076 1.737 0.000
Y 9.769 1.737 0.000
Y 4.923 0.869 2.395
Y -2.712 3.297 1.717
Y 2.712 -0.173 5.076
Y 0.076 1.733 3.359
Y 9.769 1.733 3.359
Y 2.712 3.643 1.717
Y 7.134 3.643 1.717
Sb 2.152 -0.093 1.660
Sb 7.694 -0.093 1.660
Sb 7.694 3.563 -1.699
Sb 11.997 0.093 1.660
C 4.923 2.950 1.371
C 0.000 3.470 1.668
C 0.000 0.000 5.027
C 4.923 0.520 4.730


20
Lattice="7.090 -5.053 0.000 7.090 5.053 0.000 -0.677 0.000 6.953" Properties=species:S:1:pos:R:3 comment="Y3SbC (GGA-PBE, relaxed)" e_form_raw_ev_per_atom=-0.49 spacegroup="No. 15" pbc="T T T"
Y 1.545 1.103 1.011
Y 2.452 1.876 4.683
Y 1.207 -1.103 4.487
Y 5.083 0.535 0.467
Y 2.791 -1.876 1.207
Y 4.745 -0.535 3.943
Y 8.757 0.535 3.010
Y 10.711 1.876 5.746
Y 8.418 -0.535 6.486
Y 12.295 1.103 2.466
Y 11.050 -1.876 2.269
Y 11.957 -1.103 5.942
Sb 6.920 3.526 1.738
Sb 6.582 1.541 5.215
Sb 6.920 -1.541 1.738
Sb 6.582 -3.526 5.215
C 3.386 0.800 2.500
C 3.048 -0.800 5.977
C 10.454 0.800 0.976
C 10.115 -0.800 4.452


10
Lattice="3.681 2.125 6.531 -3.681 2.125 6.531 0.000 -4.251 6.531" Properties=species:S:1:pos:R:3 comment="Y3SbC (GGA-PBE, relaxed)" e_form_raw_ev_per_atom=-0.13 spacegroup="No. 167" pbc="T T T"
Y -2.578 -0.215 8.163
Y -1.103 -2.340 11.429
Y 1.475 -2.125 8.163
Y -1.475 2.125 11.429
Y 1.103 2.340 8.163
Y 2.578 0.215 11.429
Sb 0.000 0.000 0.000
Sb 0.000 0.000 9.796
C 0.000 0.000 4.898
C 0.000 0.000 14.694


10
Lattice="8.039 -2.084 0.000 8.039 2.084 0.000 -1.449 0.000 8.014" Properties=species:S:1:pos:R:3 comment="Y3SbC (GGA-PBE, relaxed)" e_form_raw_ev_per_atom=-0.47 spacegroup="No. 12" pbc="T T T"
Y 0.239 0.000 2.682
Y 1.131 0.000 7.546
Y 4.693 0.000 3.015
Y 9.935 0.000 4.999
Y 13.498 0.000 0.467
Y 14.389 0.000 5.331
Sb 4.142 0.000 6.156
Sb 10.486 0.000 1.858
C 0.645 0.000 5.113
C 13.984 0.000 2.900


12
Lattice="7.032 -3.132 0.000 7.032 3.132 0.000 -1.855 0.000 6.988" Properties=species:S:1:pos:R:3 comment="Y3Sb2C (GGA-PBE, relaxed)" e_form_raw_ev_per_atom=-0.70 spacegroup="No. 15" pbc="T T T"
Y 5.640 2.677 5.241
Y 4.493 0.038 3.043
Y 3.565 -0.038 6.537
Y 8.644 0.038 0.450
Y 7.716 -0.038 3.944
Y 6.568 -2.677 1.747
Sb 2.368 0.049 0.616
Sb 1.440 -0.049 4.110
Sb 10.769 0.049 2.878
Sb 9.841 -0.049 6.372
C 5.640 0.329 5.241
C 6.568 -0.329 1.747


5
Lattice="4.883 0.000 0.000 0.000 4.883 0.000 0.000 0.000 4.883" Properties=species:S:1:pos:R:3 comment="Y3SbC (GGA-PBE, relaxed)" e_form_raw_ev_per_atom=-0.65 spacegroup="No. 221" pbc="T T T"
Y 0.000 0.000 2.441
Y 0.000 2.441 0.000
Y 2.441 0.000 0.000
Sb 2.441 2.441 2.441
C 0.000 0.000 0.000


20
Lattice="0.000 6.465 6.465 6.465 0.000 6.465 6.465 6.465 0.000" Properties=species:S:1:pos:R:3 comment="Y3SbC (GGA-PBE, relaxed)" e_form_raw_ev_per_atom=-0.32 spacegroup="No. 227" pbc="T T T"
Y 4.849 4.849 0.970
Y 4.849 0.970 4.849
Y 8.727 4.849 4.849
Y 8.081 8.081 4.203
Y 8.081 4.203 8.081
Y 11.959 8.081 8.081
Y 0.970 4.849 4.849
Y 4.849 8.727 4.849
Y 4.849 4.849 8.727
Y 4.203 8.081 8.081
Y 8.081 11.959 8.081
Y 8.081 8.081 11.959
Sb 6.465 3.232 3.232
Sb 3.232 6.465 3.232
Sb 3.232 3.232 6.465
Sb 6.465 6.465 6.465
C 0.000 0.000 0.000
C 3.232 3.232 0.000
C 3.232 0.000 3.232
C 0.000 3.232 3.232


10
Lattice="4.283 0.000 0.000 1.943 6.208 0.000 1.994 0.716 9.582" Properties=species:S:1:pos:R:3 comment="Y3SbC (GGA-PBE, relaxed)" e_form_raw_ev_per_atom=-0.58 spacegroup="No. 1" pbc="T T T"
Y 0.000 0.000 0.000
Y 1.978 2.378 5.137
Y 3.880 3.330 8.194
Y 4.149 3.723 1.786
Y 6.291 6.249 6.908
Y 6.174 6.109 3.436
Sb 2.071 1.458 1.808
Sb 4.070 4.601 5.034
C 2.508 1.326 7.302
C 5.753 2.159 7.605


10
Lattice="3.222 -3.175 0.000 3.222 3.175 0.000 -1.922 0.000 11.709" Properties=species:S:1:pos:R:3 comment="Y3SbC (GGA-PBE, relaxed)" e_form_raw_ev_per_atom=-0.60 spacegroup="No. 12" pbc="T T T"
Y 1.283 1.593 7.384
Y -0.326 0.000 10.423
Y 3.239 1.593 4.325
Y 1.283 -1.593 7.384
Y 4.848 0.000 1.286
Y 3.239 -1.593 4.325
Sb 1.625 0.000 1.817
Sb 2.897 0.000 9.891
C 1.645 0.000 5.459
C 2.877 0.000 6.249


20
Lattice="6.880 0.000 0.000 0.000 9.855 0.000 0.000 0.000 6.881" Properties=species:S:1:pos:R:3 comment="Y3SbC (GGA-PBE, relaxed)" e_form_raw_ev_per_atom=-0.66 spacegroup="No. 62" pbc="T T T"
Y 0.000 2.464 0.006
Y 6.880 7.391 6.875
Y 1.493 9.850 1.947
Y 1.493 4.931 1.947
Y 1.947 0.004 5.388
Y 1.947 4.923 5.388
Y 3.440 2.464 3.435
Y 3.440 7.391 3.446
Y 4.933 9.850 1.493
Y 4.933 4.931 1.493
Y 5.387 0.004 4.934
Y 5.387 4.923 4.934
Sb 0.003 2.464 3.441
Sb 6.877 7.391 3.440
Sb 3.443 2.464 6.880
Sb 3.437 7.391 0.001
C 0.000 0.000 0.000
C 0.000 4.927 0.000
C 3.440 0.000 3.440
C 3.440 4.927 3.440


10
Lattice="5.116 0.000 0.000 -2.558 4.431 0.000 0.000 0.000 9.953" Properties=species:S:1:pos:R:3 comment="Y3SbC (GGA-PBE, relaxed)" e_form_raw_ev_per_atom=-0.13 spacegroup="No. 194" pbc="T T T"
Y 0.000 0.000 2.488
Y 0.000 0.000 7.465
Y 0.000 2.954 0.675
Y 0.000 2.954 4.301
Y 2.558 1.477 5.652
Y 2.558 1.477 9.278
Sb 0.000 2.954 7.465
Sb 2.558 1.477 2.488
C 0.000 0.000 0.000
C 0.000 0.000 4.976


7
Lattice="-2.255 2.255 7.916 2.255 -2.255 7.916 2.255 2.255 -7.916" Properties=species:S:1:pos:R:3 comment="Y2Zr2Sb2C (GGA-PBE, relaxed)" e_form_raw_ev_per_atom=-0.84 spacegroup="No. 139" pbc="T T T"
Y 0.000 0.000 2.571
Y 0.000 0.000 13.260
Zr 2.255 0.000 0.000
Zr 0.000 2.255 0.000
Sb 0.000 0.000 5.727
Sb 0.000 0.000 10.105
C 0.000 0.000 0.000


8
Lattice="-2.963 2.963 4.410 2.963 -2.963 4.410 2.963 2.963 -4.410" Properties=species:S:1:pos:R:3 comment="Zn2SbC (GGA-PBE, relaxed)" e_form_raw_ev_per_atom=0.74 e_above_lowest_polymorph_ev_per_atom=0.000 spacegroup="No. 122" pbc="T T T"
Zn 0.591 1.481 1.103
Zn -1.481 2.372 3.308
Zn -0.591 4.444 1.103
Zn 1.481 3.553 3.308
Sb 2.963 0.000 2.205
Sb 0.000 0.000 4.410
C 0.000 0.000 0.000
C 0.000 2.963 2.205


5
Lattice="-1.925 1.925 7.061 1.925 -1.925 7.061 1.925 1.925 -7.061" Properties=species:S:1:pos:R:3 comment="ZnSb2C2 (GGA-PBE, relaxed)" e_form_raw_ev_per_atom=1.32 e_above_lowest_polymorph_ev_per_atom=0.000 spacegroup="No. 139" pbc="T T T"
Zn 0.000 0.000 0.000
Sb 0.000 0.000 4.751
Sb 0.000 0.000 9.370
C 1.925 0.000 3.530
C 0.000 1.925 3.530


5
Lattice="4.266 0.000 0.000 0.000 4.266 0.000 0.000 0.000 4.266" Properties=species:S:1:pos:R:3 comment="ZnSbC3 (GGA-PBE, relaxed)" e_form_raw_ev_per_atom=2.90 e_above_lowest_polymorph_ev_per_atom=0.173 spacegroup="No. 221" pbc="T T T"
Zn 0.000 0.000 0.000
Sb 2.133 2.133 2.133
C 0.000 2.133 2.133
C 2.133 0.000 2.133
C 2.133 2.133 0.000